# 1
First-principles (PBE) data for a relaxed KCdO2 crystal, as listed in Alexandria.

Values from the calculation:
SG: No. 166
E_form (uncorrected): -0.5678 eV per atom
total energy: -3.550 eV/atom

abc: 7.4495 7.4495 7.4495
angles: 28.28 28.28 28.28
Positions (direct):
1 K 0.0000 0.0000 0.0000
2 Cd 0.5000 0.5000 0.5000
3 O 0.4091 0.4091 0.4091
4 O 0.5909 0.5909 0.5909

=====

# 2
First-principles (PBE) data for a relaxed Ca4Te5Pb crystal, as listed in Alexandria.

Values from the calculation:
SG: No. 139
E_form (uncorrected): -1.3953 eV per atom
total energy: -4.138 eV/atom

abc: 16.4183 16.4183 16.4183
angles: 164.07 164.07 22.60
Positions (direct):
1 Ca 0.1006 0.1006 0.0000
2 Ca 0.2991 0.2991 0.0000
3 Ca 0.7009 0.7009 0.0000
4 Ca 0.8994 0.8994 0.0000
5 Te 0.0000 0.0000 0.0000
6 Te 0.2002 0.2002 0.0000
7 Te 0.3985 0.3985 0.0000
8 Te 0.6015 0.6015 0.0000
9 Te 0.7998 0.7998 0.0000
10 Pb 0.5000 0.5000 0.0000

=====

# 3
First-principles (PBE) data for a relaxed Ac3Bi5O12 crystal, as listed in Alexandria.

Values from the calculation:
SG: No. 230
E_form (uncorrected): -1.9559 eV per atom
total energy: -6.517 eV/atom

abc: 12.4377 12.4377 12.4377
angles: 109.47 109.47 109.47
Positions (direct):
1 Ac 0.1250 0.2500 0.3750
2 Ac 0.1250 0.3750 0.7500
3 Ac 0.2500 0.3750 0.1250
4 Ac 0.2500 0.8750 0.6250
5 Ac 0.3750 0.1250 0.2500
6 Ac 0.3750 0.7500 0.1250
7 Ac 0.6250 0.2500 0.8750
8 Ac 0.6250 0.8750 0.7500
9 Ac 0.7500 0.1250 0.3750
10 Ac 0.7500 0.6250 0.8750
11 Ac 0.8750 0.6250 0.2500
12 Ac 0.8750 0.7500 0.6250
13 Bi 0.0000 0.0000 0.0000
14 Bi 0.0000 0.0000 0.5000
15 Bi 0.0000 0.5000 0.0000
16 Bi 0.0000 0.5000 0.5000
17 Bi 0.1250 0.7500 0.8750
18 Bi 0.1250 0.8750 0.2500
19 Bi 0.2500 0.1250 0.8750
20 Bi 0.2500 0.6250 0.3750
21 Bi 0.3750 0.2500 0.6250
22 Bi 0.3750 0.6250 0.7500
23 Bi 0.5000 0.0000 0.0000
24 Bi 0.5000 0.0000 0.5000
25 Bi 0.5000 0.5000 0.0000
26 Bi 0.5000 0.5000 0.5000
27 Bi 0.6250 0.3750 0.2500
28 Bi 0.6250 0.7500 0.3750
29 Bi 0.7500 0.3750 0.6250
30 Bi 0.7500 0.8750 0.1250
31 Bi 0.8750 0.1250 0.7500
32 Bi 0.8750 0.2500 0.1250
33 O 0.0437 0.2171 0.1324
34 O 0.0437 0.3265 0.9113
35 O 0.0847 0.7171 0.6735
36 O 0.0847 0.8676 0.4113
37 O 0.0887 0.6324 0.4153
38 O 0.0887 0.9563 0.6735
39 O 0.1324 0.0437 0.2171
40 O 0.1324 0.5887 0.9153
41 O 0.1735 0.2171 0.5847
42 O 0.1735 0.4563 0.5887
43 O 0.2171 0.1324 0.0437
44 O 0.2171 0.5847 0.1735
45 O 0.2829 0.3265 0.9153
46 O 0.2829 0.4563 0.3676
47 O 0.3265 0.9113 0.0437
48 O 0.3265 0.9153 0.2829
49 O 0.3676 0.2829 0.4563
50 O 0.3676 0.5847 0.9113
51 O 0.4113 0.0847 0.8676
52 O 0.4113 0.8265 0.5437
53 O 0.4153 0.0887 0.6324
54 O 0.4153 0.8265 0.7829
55 O 0.4563 0.3676 0.2829
56 O 0.4563 0.5887 0.1735
57 O 0.5437 0.4113 0.8265
58 O 0.5437 0.6324 0.7171
59 O 0.5847 0.1735 0.2171
60 O 0.5847 0.9113 0.3676
61 O 0.5887 0.1735 0.4563
62 O 0.5887 0.9153 0.1324
63 O 0.6324 0.4153 0.0887
64 O 0.6324 0.7171 0.5437
65 O 0.6735 0.0847 0.7171
66 O 0.6735 0.0887 0.9563
67 O 0.7171 0.5437 0.6324
68 O 0.7171 0.6735 0.0847
69 O 0.7829 0.4153 0.8265
70 O 0.7829 0.8676 0.9563
71 O 0.8265 0.5437 0.4113
72 O 0.8265 0.7829 0.4153
73 O 0.8676 0.4113 0.0847
74 O 0.8676 0.9563 0.7829
75 O 0.9113 0.0437 0.3265
76 O 0.9113 0.3676 0.5847
77 O 0.9153 0.1324 0.5887
78 O 0.9153 0.2829 0.3265
79 O 0.9563 0.6735 0.0887
80 O 0.9563 0.7829 0.8676

=====

# 4
First-principles (PBE) data for a relaxed LaHo2Ge crystal, as listed in Alexandria.

Values from the calculation:
SG: No. 160
E_form: -0.25 eV/atom
total energy: -4.923 eV/atom

abc: 9.5524 9.5524 9.5524
angles: 24.18 24.18 24.18
Positions (direct):
1 La 0.0000 0.0000 0.0000
2 Ho 0.5551 0.5551 0.5551
3 Ho 0.7717 0.7717 0.7717
4 Ge 0.1627 0.1627 0.1627

=====

# 5
First-principles (PBE) data for a relaxed La2Pm3DyY6 crystal, as listed in Alexandria.

Values from the calculation:
SG: No. 12
E_form: 0.01 eV/atom
total energy: -5.612 eV/atom

abc: 6.2785 6.2785 11.9089
angles: 95.03 95.03 119.99
Positions (direct):
1 La 0.1663 0.8337 0.0000
2 La 0.8337 0.1663 0.0000
3 Pm 0.0000 0.0000 0.5000
4 Pm 0.3332 0.6668 0.5000
5 Pm 0.6668 0.3332 0.5000
6 Dy 0.5000 0.5000 0.0000
7 Y 0.0838 0.4162 0.7488
8 Y 0.2516 0.2516 0.2516
9 Y 0.4162 0.0838 0.7488
10 Y 0.5838 0.9162 0.2512
11 Y 0.7484 0.7484 0.7484
12 Y 0.9162 0.5838 0.2512

=====

# 6
First-principles (PBE) data for a relaxed BiPHRu2 crystal, as listed in Alexandria.

Values from the calculation:
SG: No. 123
total energy: -5.491 eV/atom

abc: 4.1646 4.1646 4.1533
angles: 90.00 90.00 90.00
Positions (direct):
1 Bi 0.0000 0.0000 0.0000
2 P 0.5000 0.5000 0.0000
3 H 0.0000 0.0000 0.5000
4 Ru 0.0000 0.5000 0.5000
5 Ru 0.5000 0.0000 0.5000

=====

DOS(E_F) (computed, states/eV/f.u.): 2.5, 0.0, 0.0, 5.2, 15.0, 4.2
Ρ (computed, g/cm3): 3.72, 5.01, 8.60, 7.00, 5.84, 10.21